Below is InRePb2 after structural relaxation, with properties calculated at the PBE level.

The structure in POSCAR format:
```
InRePb2
1.0
-2.323 1.229 -2.496
-3.513 -3.215 1.686
-1.642 3.500 3.251
Pb In Re
2 1 1
direct
0.000 0.000 0.000
0.000 0.500 0.500
0.500 0.000 0.500
0.500 0.500 0.000
```

## Properties
- calculated volume (Å³ per atom) = 23.1
- formation energy (meV/atom) = 974
- offset from the most stable computed form (meV per atom) = 459
- raw total energy (eV per atom) = -4.677